Entry 1:
The following is a DFT calculation (GGA-PBEsol) of Y2SiSe after structural relaxation.

Cell: 3.3969 3.3969 7.4292 Å, 90.00 90.00 90.00°
Element x y z (fractional)
Y: 0.0000 0.0000 0.2505
Y: 0.0000 0.0000 0.7495
Si: 0.5000 0.5000 0.5000
Se: 0.5000 0.5000 0.0000

**Magnetization**: 0.00 μB/f.u.
**Formation energy without anion corrections**: -103.3 kJ per mole of atoms
**Energy**: -0.2529 hartree per atom



Entry 2:
The following is a DFT calculation (GGA-PBEsol) of HgRu2W after structural relaxation.

Cell: 2.8185 4.7568 4.9265 Å, 112.54 90.00 90.00°
Element x y z (fractional)
Hg: 0.0000 0.5000 0.5000
Ru: 0.0000 0.0000 0.0000
Ru: 0.5000 0.0000 0.5000
W: 0.5000 0.5000 0.0000

**DFT formation energy**: 526 meV/atom
**Magnetization**: 0.00 μB/f.u.
**Energy**: -0.2996 hartree per atom